1.
Sm2PaGa6 after structural relaxation. Source: Alexandria, functional PBE.

Values from the calculation:
DFT total energy	-4.684	eV/atom
space-group type	P6/mmm
energy of formation from the pure elements	-562	meV/atom

a b c (Å): 7.3537 7.3537 4.1121
angles (deg): 90.00 90.00 120.00
Last column: nearest neighbours and their distance in Å.
Positions (direct):
Sm  0.3333  0.6667  0.0000  12 Ga 3.20
Sm  0.6667  0.3333  0.0000  12 Ga 3.20
Pa  0.0000  0.0000  0.0000  12 Ga 3.19
Ga  0.0000  0.3315  0.5000  3 Ga 2.44-2.48
Ga  0.0000  0.6685  0.5000  3 Ga 2.44-2.48
Ga  0.3315  0.0000  0.5000  3 Ga 2.44-2.48
Ga  0.3315  0.3315  0.5000  3 Ga 2.44-2.48
Ga  0.6685  0.0000  0.5000  3 Ga 2.44-2.48
Ga  0.6685  0.6685  0.5000  3 Ga 2.44-2.48

=====

2.
SmPaGa4 after structural relaxation. Source: Alexandria, functional PBE.

Values from the calculation:
DFT total energy	-4.750	eV/atom
space-group type	F-43m
energy of formation from the pure elements	-363	meV/atom

a b c (Å): 5.5540 5.5540 5.5540
angles (deg): 60.00 60.00 60.00
Last column: nearest neighbours and their distance in Å.
Positions (direct):
Sm  0.0000  0.0000  0.0000  12 Ga 3.26, 4 Pa 3.40
Pa  0.7500  0.7500  0.7500  12 Ga 3.25, 4 Sm 3.40
Ga  0.3757  0.3757  0.3757  6 Ga 2.76-2.79
Ga  0.3757  0.3757  0.8728  6 Ga 2.76-2.79
Ga  0.3757  0.8728  0.3757  6 Ga 2.76-2.79
Ga  0.8728  0.3757  0.3757  6 Ga 2.76-2.79

=====

3.
SmPa2Ga after structural relaxation. Source: Alexandria, functional PBE.

Values from the calculation:
DFT total energy	-6.729	eV/atom
space-group type	P4/mmm
energy of formation from the pure elements	-45	meV/atom

a b c (Å): 4.3863 4.3863 5.0564
angles (deg): 90.00 90.00 90.00
Last column: nearest neighbours and their distance in Å.
Positions (direct):
Sm  0.0000  0.0000  0.0000  4 Ga 3.10, 8 Pa 3.35
Pa  0.0000  0.5000  0.5000  4 Pa 3.10, 4 Sm 3.35, 4 Ga 3.35
Pa  0.5000  0.0000  0.5000  4 Pa 3.10, 4 Sm 3.35, 4 Ga 3.35
Ga  0.5000  0.5000  0.0000  4 Sm 3.10, 8 Pa 3.35

=====

4.
SmPa2Ga after structural relaxation. Source: Alexandria, functional PBE.

Values from the calculation:
DFT total energy	-6.392	eV/atom
space-group type	Fm-3m
energy of formation from the pure elements	292	meV/atom

a b c (Å): 5.1959 5.1959 5.1959
angles (deg): 60.00 60.00 60.00
Last column: nearest neighbours and their distance in Å.
Positions (direct):
Sm  0.0000  0.0000  0.0000  8 Pa 3.18
Pa  0.2500  0.2500  0.2500  4 Ga 3.18, 4 Sm 3.18
Pa  0.7500  0.7500  0.7500  4 Ga 3.18, 4 Sm 3.18
Ga  0.5000  0.5000  0.5000  8 Pa 3.18

=====

5.
SmPaGa4 after structural relaxation. Source: Alexandria, functional PBE.

Values from the calculation:
DFT total energy	-4.886	eV/atom
space-group type	I-4m2
energy of formation from the pure elements	-498	meV/atom

a b c (Å): 7.8960 7.8960 7.8960
angles (deg): 149.33 149.33 43.93
Last column: nearest neighbours and their distance in Å.
Positions (direct):
Sm  0.0000  0.0000  0.0000  12 Ga 3.20-3.23
Pa  0.2500  0.7500  0.5000  12 Ga 3.19-3.21
Ga  0.4160  0.4160  0.0000  3 Ga 2.43-2.46
Ga  0.5840  0.5840  0.0000  3 Ga 2.43-2.46
Ga  0.6681  0.1681  0.5000  3 Ga 2.40-2.43
Ga  0.8319  0.3319  0.5000  3 Ga 2.40-2.43

=====

6.
Sm2PaGa after structural relaxation. Source: Alexandria, functional PBE.

Values from the calculation:
DFT total energy	-5.602	eV/atom
space-group type	P4/mmm
energy of formation from the pure elements	-112	meV/atom

a b c (Å): 3.4768 3.4768 8.8383
angles (deg): 90.00 90.00 90.00
Last column: nearest neighbours and their distance in Å.
Positions (direct):
Sm  0.0000  0.0000  0.2228  4 Ga 3.15, 4 Pa 3.47, 4 Sm 3.48
Sm  0.0000  0.0000  0.7772  4 Ga 3.15, 4 Pa 3.47, 4 Sm 3.48
Pa  0.5000  0.5000  0.5000  8 Sm 3.47, 4 Pa 3.48
Ga  0.5000  0.5000  0.0000  8 Sm 3.15, 4 Ga 3.48